Entry 1:
! Y4IrPb | the Alexandria database | PBE-GGA | relaxed; values from VASP
! Calculated total energy (eV/f.u.): -35.66
! Excess energy over the best structure of this formula in the dataset (meV per atom): 1024
! Symmetry: No. 216
&SYSTEM
  ibrav = 0, nat = 6, ntyp = 3
/
ATOMIC_SPECIES
Y 88.91 Y.upf
Ir 192.22 Ir.upf
Pb 207.20 Pb.upf
CELL_PARAMETERS angstrom
-1.209 -5.862 1.059
-3.108 -1.613 4.969
-5.692 -2.071 -0.514
ATOMIC_POSITIONS crystal
Y 0.872 0.376 0.376
Y 0.376 0.376 0.872
Y 0.376 0.872 0.376
Y 0.376 0.376 0.376
Ir 0.750 0.750 0.750
Pb 0.000 0.000 0.000

***

Entry 2:
! Y3IrPb2 | the Alexandria database | PBE-GGA | relaxed; values from VASP
! Calculated total energy (eV/f.u.): -39.33
! Symmetry: No. 62
&SYSTEM
  ibrav = 0, nat = 24, ntyp = 3
/
ATOMIC_SPECIES
Y 88.91 Y.upf
Ir 192.22 Ir.upf
Pb 207.20 Pb.upf
CELL_PARAMETERS angstrom
-3.909 2.056 -0.299
-2.546 -6.244 -9.634
-5.241 -8.925 7.169
ATOMIC_POSITIONS crystal
Y 0.250 0.367 0.055
Y 0.750 0.633 0.945
Y 0.750 0.867 0.445
Y 0.250 0.133 0.555
Y 0.250 0.710 0.249
Y 0.750 0.290 0.751
Y 0.750 0.210 0.251
Y 0.250 0.790 0.749
Y 0.250 0.459 0.382
Y 0.750 0.541 0.618
Y 0.750 0.959 0.118
Y 0.250 0.041 0.882
Ir 0.250 0.130 0.124
Ir 0.750 0.870 0.876
Ir 0.750 0.630 0.376
Ir 0.250 0.370 0.624
Pb 0.250 0.696 0.513
Pb 0.750 0.304 0.487
Pb 0.750 0.196 0.987
Pb 0.250 0.804 0.013
Pb 0.250 0.001 0.316
Pb 0.750 0.999 0.684
Pb 0.750 0.501 0.184
Pb 0.250 0.499 0.816

***

Entry 3:
! Y3IrPb | the Alexandria database | PBE-GGA | relaxed; values from VASP
! Calculated total energy (eV/f.u.): -31.55
! Excess energy over the best structure of this formula in the dataset (meV per atom): 699
! Symmetry: No. 160
&SYSTEM
  ibrav = 0, nat = 5, ntyp = 3
/
ATOMIC_SPECIES
Pb 207.20 Pb.upf
Y 88.91 Y.upf
Ir 192.22 Ir.upf
CELL_PARAMETERS angstrom
-4.772 -3.052 -0.703
3.349 -3.402 3.130
-1.538 4.123 3.635
ATOMIC_POSITIONS crystal
Pb 0.639 0.639 0.639
Y 0.868 0.253 0.868
Y 0.253 0.868 0.868
Y 0.868 0.868 0.253
Ir 0.247 0.247 0.247

***

Entry 4:
! Y3IrPb | the Alexandria database | PBE-GGA | relaxed; values from VASP
! Calculated total energy (eV/f.u.): -34.96
! Excess energy over the best structure of this formula in the dataset (meV per atom): 18
! Symmetry: No. 12
&SYSTEM
  ibrav = 0, nat = 10, ntyp = 3
/
ATOMIC_SPECIES
Pb 207.20 Pb.upf
Y 88.91 Y.upf
Ir 192.22 Ir.upf
CELL_PARAMETERS angstrom
-14.235 -8.321 -4.988
-5.919 -0.236 -4.967
7.669 -0.330 0.918
ATOMIC_POSITIONS crystal
Pb 0.434 0.169 0.831
Pb 0.566 0.831 0.169
Y 0.707 0.345 0.655
Y 0.293 0.655 0.345
Y 0.947 0.438 0.562
Y 0.053 0.562 0.438
Y 0.284 0.961 0.039
Y 0.716 0.039 0.961
Ir 0.089 0.714 0.286
Ir 0.911 0.286 0.714

***

Entry 5:
! Y3IrPb | the Alexandria database | PBE-GGA | relaxed; values from VASP
! Calculated total energy (eV/f.u.): -34.73
! Excess energy over the best structure of this formula in the dataset (meV per atom): 64
! Symmetry: No. 15
&SYSTEM
  ibrav = 0, nat = 20, ntyp = 3
/
ATOMIC_SPECIES
Pb 207.20 Pb.upf
Y 88.91 Y.upf
Ir 192.22 Ir.upf
CELL_PARAMETERS angstrom
11.113 0.000 0.075
4.584 7.020 -3.406
-4.584 7.020 3.406
ATOMIC_POSITIONS crystal
Pb 0.750 0.245 0.745
Pb 0.250 0.755 0.255
Pb 0.750 0.596 0.096
Pb 0.250 0.404 0.904
Y 0.492 0.194 0.411
Y 0.008 0.911 0.694
Y 0.508 0.806 0.589
Y 0.992 0.089 0.306
Y 0.038 0.301 0.993
Y 0.462 0.493 0.801
Y 0.962 0.699 0.007
Y 0.538 0.507 0.199
Y 0.463 0.112 0.786
Y 0.037 0.286 0.612
Y 0.537 0.888 0.214
Y 0.963 0.714 0.388
Ir 0.187 0.260 0.373
Ir 0.313 0.873 0.760
Ir 0.813 0.740 0.627
Ir 0.687 0.127 0.240

***

Entry 6:
! YIr2Pb | the Alexandria database | PBE-GGA | relaxed; values from VASP
! Calculated total energy (eV/f.u.): -27.68
! Symmetry: No. 99
&SYSTEM
  ibrav = 0, nat = 4, ntyp = 3
/
ATOMIC_SPECIES
Ir 192.22 Ir.upf
Pb 207.20 Pb.upf
Y 88.91 Y.upf
CELL_PARAMETERS angstrom
3.252 0.003 0.000
-0.003 3.252 0.000
0.000 0.000 7.804
ATOMIC_POSITIONS crystal
Ir 0.000 0.000 0.017
Ir 0.500 0.500 0.234
Pb 0.000 0.000 0.451
Y 0.500 0.500 0.798

***

Entry 7:
! YIrPb2 | the Alexandria database | PBE-GGA | relaxed; values from VASP
! Calculated total energy (eV/f.u.): -23.18
! Excess energy over the best structure of this formula in the dataset (meV per atom): 130
! Symmetry: No. 123
&SYSTEM
  ibrav = 0, nat = 4, ntyp = 3
/
ATOMIC_SPECIES
Ir 192.22 Ir.upf
Pb 207.20 Pb.upf
Y 88.91 Y.upf
CELL_PARAMETERS angstrom
-3.893 0.866 -2.099
0.183 -4.034 -2.003
-2.312 -1.855 3.523
ATOMIC_POSITIONS crystal
Ir 0.000 0.500 0.500
Pb 0.000 0.000 0.000
Pb 0.500 0.500 0.000
Y 0.500 0.000 0.500

***

Entry 8:
! Y3IrPb | the Alexandria database | PBE-GGA | relaxed; values from VASP
! Calculated total energy (eV/f.u.): -34.59
! Excess energy over the best structure of this formula in the dataset (meV per atom): 93
! Symmetry: No. 65
&SYSTEM
  ibrav = 0, nat = 10, ntyp = 3
/
ATOMIC_SPECIES
Y 88.91 Y.upf
Ir 192.22 Ir.upf
Pb 207.20 Pb.upf
CELL_PARAMETERS angstrom
4.036 -0.001 -0.001
0.001 8.865 0.040
0.002 3.120 8.300
ATOMIC_POSITIONS crystal
Y 0.864 0.372 0.815
Y 0.864 0.016 0.677
Y 0.863 0.625 0.068
Y 0.363 0.017 0.069
Y 0.863 0.763 0.425
Y 0.363 0.371 0.424
Ir 0.363 0.694 0.246
Ir 0.364 0.194 0.746
Pb 0.363 0.694 0.746
Pb 0.863 0.194 0.247

***

Entry 9:
! Y3IrPb | the Alexandria database | PBE-GGA | relaxed; values from VASP
! Calculated total energy (eV/f.u.): -34.23
! Excess energy over the best structure of this formula in the dataset (meV per atom): 164
! Symmetry: No. 148
&SYSTEM
  ibrav = 0, nat = 10, ntyp = 3
/
ATOMIC_SPECIES
Pb 207.20 Pb.upf
Y 88.91 Y.upf
Ir 192.22 Ir.upf
CELL_PARAMETERS angstrom
4.290 0.000 6.466
-2.145 3.715 6.466
-2.145 -3.715 6.466
ATOMIC_POSITIONS crystal
Pb 0.348 0.348 0.348
Pb 0.652 0.652 0.652
Y 0.396 0.062 0.809
Y 0.062 0.809 0.396
Y 0.191 0.604 0.938
Y 0.938 0.191 0.604
Y 0.604 0.938 0.191
Y 0.809 0.396 0.062
Ir 0.178 0.178 0.178
Ir 0.822 0.822 0.822

***

Entry 10:
! Y3IrPb | the Alexandria database | PBE-GGA | relaxed; values from VASP
! Calculated total energy (eV/f.u.): -33.15
! Excess energy over the best structure of this formula in the dataset (meV per atom): 379
! Symmetry: No. 63
&SYSTEM
  ibrav = 0, nat = 10, ntyp = 3
/
ATOMIC_SPECIES
Pb 207.20 Pb.upf
Y 88.91 Y.upf
Ir 192.22 Ir.upf
CELL_PARAMETERS angstrom
0.654 3.206 -7.189
-4.095 -6.309 2.411
-4.591 3.400 1.098
ATOMIC_POSITIONS crystal
Pb 0.561 0.439 0.250
Pb 0.439 0.561 0.750
Y 0.064 0.427 0.250
Y 0.573 0.936 0.250
Y 0.427 0.064 0.750
Y 0.936 0.573 0.750
Y 0.000 0.000 0.000
Y 0.000 0.000 0.500
Ir 0.173 0.827 0.250
Ir 0.827 0.173 0.750

***

Entry 11:
! Y3IrPb | the Alexandria database | PBE-GGA | relaxed; values from VASP
! Calculated total energy (eV/f.u.): -33.96
! Excess energy over the best structure of this formula in the dataset (meV per atom): 218
! Symmetry: No. 62
&SYSTEM
  ibrav = 0, nat = 20, ntyp = 3
/
ATOMIC_SPECIES
Pb 207.20 Pb.upf
Y 88.91 Y.upf
Ir 192.22 Ir.upf
CELL_PARAMETERS angstrom
7.406 0.000 0.000
0.000 8.935 0.000
0.000 0.000 8.414
ATOMIC_POSITIONS crystal
Pb 0.000 0.000 0.500
Pb 0.500 0.500 0.000
Pb 0.500 0.000 0.000
Pb 0.000 0.500 0.500
Y 0.127 0.937 0.844
Y 0.373 0.437 0.344
Y 0.373 0.063 0.344
Y 0.873 0.437 0.156
Y 0.873 0.063 0.156
Y 0.627 0.563 0.656
Y 0.627 0.937 0.656
Y 0.127 0.563 0.844
Y 0.360 0.250 0.727
Y 0.140 0.750 0.227
Y 0.640 0.750 0.273
Y 0.860 0.250 0.773
Ir 0.628 0.250 0.493
Ir 0.872 0.750 0.993
Ir 0.372 0.750 0.507
Ir 0.128 0.250 0.007

***

Entry 12:
! ZnIrPb2 | the Alexandria database | PBE-GGA | relaxed; values from VASP
! Calculated total energy (eV/f.u.): -17.15
! Symmetry: No. 99
&SYSTEM
  ibrav = 0, nat = 4, ntyp = 3
/
ATOMIC_SPECIES
Ir 192.22 Ir.upf
Pb 207.20 Pb.upf
Zn 65.41 Zn.upf
CELL_PARAMETERS angstrom
-1.820 2.566 -0.963
-0.211 -1.284 -3.022
-6.943 -4.091 2.224
ATOMIC_POSITIONS crystal
Ir 0.500 0.500 0.700
Pb 0.000 0.000 0.929
Pb 0.500 0.500 0.309
Zn 0.000 0.000 0.562

***

Entry 13:
! ZnIrPb2 | the Alexandria database | PBE-GGA | relaxed; values from VASP
! Calculated total energy (eV/f.u.): -16.55
! Symmetry: No. 160
&SYSTEM
  ibrav = 0, nat = 4, ntyp = 3
/
ATOMIC_SPECIES
Ir 192.22 Ir.upf
Pb 207.20 Pb.upf
Zn 65.41 Zn.upf
CELL_PARAMETERS angstrom
10.199 0.097 0.057
9.653 3.293 0.057
9.653 1.649 2.852
ATOMIC_POSITIONS crystal
Ir 0.759 0.759 0.759
Pb 0.019 0.019 0.019
Pb 0.237 0.237 0.237
Zn 0.485 0.485 0.485

***

Entry 14:
! ZnIrPb2 | the Alexandria database | PBE-GGA | relaxed; values from VASP
! Calculated total energy (eV/f.u.): -16.76
! Symmetry: No. 122
&SYSTEM
  ibrav = 0, nat = 8, ntyp = 3
/
ATOMIC_SPECIES
Pb 207.20 Pb.upf
Zn 65.41 Zn.upf
Ir 192.22 Ir.upf
CELL_PARAMETERS angstrom
-2.710 -7.507 4.754
0.746 -5.145 -7.699
1.400 -6.827 -0.907
ATOMIC_POSITIONS crystal
Pb 0.740 0.125 0.250
Pb 0.010 0.625 0.250
Pb 0.375 0.260 0.750
Pb 0.875 0.990 0.750
Zn 0.500 0.500 0.000
Zn 0.250 0.750 0.500
Ir 0.000 0.000 0.000
Ir 0.750 0.250 0.500

***

Entry 15:
! ZnIrPb2 | the Alexandria database | PBE-GGA | relaxed; values from VASP
! Calculated total energy (eV/f.u.): -16.25
! Symmetry: No. 12
&SYSTEM
  ibrav = 0, nat = 4, ntyp = 3
/
ATOMIC_SPECIES
Ir 192.22 Ir.upf
Pb 207.20 Pb.upf
Zn 65.41 Zn.upf
CELL_PARAMETERS angstrom
-1.132 -0.993 -3.612
1.139 -2.988 -2.256
-5.910 -5.411 1.939
ATOMIC_POSITIONS crystal
Ir 0.250 0.250 0.250
Pb 0.991 0.991 0.030
Pb 0.509 0.509 0.470
Zn 0.750 0.750 0.750

***

Entry 16:
! ZnIrPb2 | the Alexandria database | PBE-GGA | relaxed; values from VASP
! Calculated total energy (eV/f.u.): -15.68
! Symmetry: No. 119
&SYSTEM
  ibrav = 0, nat = 4, ntyp = 3
/
ATOMIC_SPECIES
Ir 192.22 Ir.upf
Pb 207.20 Pb.upf
Zn 65.41 Zn.upf
CELL_PARAMETERS angstrom
-2.056 4.482 2.638
-5.433 0.941 -0.933
3.036 -4.440 1.531
ATOMIC_POSITIONS crystal
Ir 0.750 0.250 0.500
Pb 0.000 0.000 0.000
Pb 0.250 0.750 0.500
Zn 0.500 0.500 0.000

***

Entry 17:
! ZnIrPb2 | the Alexandria database | PBE-GGA | relaxed; values from VASP
! Calculated total energy (eV/f.u.): -16.45
! Symmetry: No. 10
&SYSTEM
  ibrav = 0, nat = 4, ntyp = 3
/
ATOMIC_SPECIES
Ir 192.22 Ir.upf
Pb 207.20 Pb.upf
Zn 65.41 Zn.upf
CELL_PARAMETERS angstrom
-0.867 1.723 -2.669
-2.804 0.974 1.539
1.152 7.712 4.603
ATOMIC_POSITIONS crystal
Ir 0.500 0.750 0.750
Pb 0.000 0.034 0.963
Pb 0.000 0.466 0.537
Zn 0.500 0.250 0.250

***

Entry 18:
! ZnIrPb2 | the Alexandria database | PBE-GGA | relaxed; values from VASP
! Calculated total energy (eV/f.u.): -15.55
! Symmetry: No. 216
&SYSTEM
  ibrav = 0, nat = 4, ntyp = 3
/
ATOMIC_SPECIES
Ir 192.22 Ir.upf
Pb 207.20 Pb.upf
Zn 65.41 Zn.upf
CELL_PARAMETERS angstrom
-1.902 -2.867 3.579
2.839 -3.418 2.214
1.430 0.634 4.711
ATOMIC_POSITIONS crystal
Ir 0.500 0.500 0.500
Pb 0.000 0.000 0.000
Pb 0.750 0.750 0.750
Zn 0.250 0.250 0.250

***

Entry 19:
! ZnIrPb2 | the Alexandria database | PBE-GGA | relaxed; values from VASP
! Calculated total energy (eV/f.u.): -16.47
! Symmetry: No. 44
&SYSTEM
  ibrav = 0, nat = 4, ntyp = 3
/
ATOMIC_SPECIES
Ir 192.22 Ir.upf
Pb 207.20 Pb.upf
Zn 65.41 Zn.upf
CELL_PARAMETERS angstrom
6.817 0.586 -0.074
4.022 5.535 0.074
-4.854 -4.062 2.600
ATOMIC_POSITIONS crystal
Ir 0.270 0.770 0.500
Pb 0.052 0.052 0.000
Pb 0.744 0.244 0.500
Zn 0.435 0.435 0.000

***

Entry 20:
! ZnIrPb2 | the Alexandria database | PBE-GGA | relaxed; values from VASP
! Calculated total energy (eV/f.u.): -16.90
! Symmetry: No. 6
&SYSTEM
  ibrav = 0, nat = 4, ntyp = 3
/
ATOMIC_SPECIES
Ir 192.22 Ir.upf
Pb 207.20 Pb.upf
Zn 65.41 Zn.upf
CELL_PARAMETERS angstrom
4.315 0.000 0.000
0.000 4.044 -0.005
0.000 2.020 5.049
ATOMIC_POSITIONS crystal
Ir 0.500 0.557 0.756
Pb 0.000 0.979 0.921
Pb 0.500 0.267 0.338
Zn 0.000 0.697 0.485

***

Entry 21:
! ZnIrPb2 | the Alexandria database | PBE-GGA | relaxed; values from VASP
! Calculated total energy (eV/f.u.): -16.95
! Symmetry: No. 8
&SYSTEM
  ibrav = 0, nat = 4, ntyp = 3
/
ATOMIC_SPECIES
Ir 192.22 Ir.upf
Pb 207.20 Pb.upf
Zn 65.41 Zn.upf
CELL_PARAMETERS angstrom
4.505 -0.068 0.073
2.825 3.510 0.073
1.673 0.785 6.125
ATOMIC_POSITIONS crystal
Ir 0.236 0.236 0.351
Pb 0.962 0.962 0.077
Pb 0.768 0.768 0.675
Zn 0.534 0.534 0.397

***

Entry 22:
! ZnIrPb2 | the Alexandria database | PBE-GGA | relaxed; values from VASP
! Calculated total energy (eV/f.u.): -15.86
! Symmetry: No. 12
&SYSTEM
  ibrav = 0, nat = 4, ntyp = 3
/
ATOMIC_SPECIES
Ir 192.22 Ir.upf
Pb 207.20 Pb.upf
Zn 65.41 Zn.upf
CELL_PARAMETERS angstrom
5.021 0.038 -0.016
-0.034 5.021 -0.016
0.042 0.043 3.426
ATOMIC_POSITIONS crystal
Ir 0.000 0.500 0.500
Pb 0.000 0.000 0.000
Pb 0.500 0.500 0.000
Zn 0.500 0.000 0.500

***

Entry 23:
! Zr4IrPb | the Alexandria database | PBE-GGA | relaxed; values from VASP
! Calculated total energy (eV/f.u.): -45.20
! Symmetry: No. 216
&SYSTEM
  ibrav = 0, nat = 6, ntyp = 3
/
ATOMIC_SPECIES
Zr 91.22 Zr.upf
Ir 192.22 Ir.upf
Pb 207.20 Pb.upf
CELL_PARAMETERS angstrom
0.078 -5.636 0.573
0.093 -2.321 5.168
-4.569 -2.711 1.971
ATOMIC_POSITIONS crystal
Zr 0.873 0.376 0.376
Zr 0.376 0.376 0.873
Zr 0.376 0.873 0.376
Zr 0.376 0.376 0.376
Ir 0.750 0.750 0.750
Pb 0.000 0.000 0.000

***

Entry 24:
! ZrIrPb4 | the Alexandria database | PBE-GGA | relaxed; values from VASP
! Calculated total energy (eV/f.u.): -26.87
! Symmetry: No. 216
&SYSTEM
  ibrav = 0, nat = 6, ntyp = 3
/
ATOMIC_SPECIES
Zr 91.22 Zr.upf
Ir 192.22 Ir.upf
Pb 207.20 Pb.upf
CELL_PARAMETERS angstrom
0.000 4.347 4.347
4.347 0.000 4.347
4.347 4.347 0.000
ATOMIC_POSITIONS crystal
Zr 0.750 0.750 0.750
Ir 0.000 0.000 0.000
Pb 0.875 0.375 0.375
Pb 0.375 0.375 0.875
Pb 0.375 0.875 0.375
Pb 0.375 0.375 0.375

***

Entry 25:
! ZrIrPb | the Alexandria database | PBE-GGA | relaxed; values from VASP
! Calculated total energy (eV/f.u.): -21.78
! Symmetry: No. 187
&SYSTEM
  ibrav = 0, nat = 3, ntyp = 3
/
ATOMIC_SPECIES
Ir 192.22 Ir.upf
Pb 207.20 Pb.upf
Zr 91.22 Zr.upf
CELL_PARAMETERS angstrom
4.717 0.000 0.000
-2.359 4.085 0.000
0.000 0.000 3.099
ATOMIC_POSITIONS crystal
Ir 0.000 0.000 0.166
Pb 0.333 0.667 0.167
Zr 0.667 0.333 0.667